Cs2UMnS6 | PBE | optimized geometry

Cell and atoms, written as POSCAR:
```
Cs2UMnS6
1.0
-2.522 -1.444 -6.459
4.299 -2.641 -4.971
-0.723 -6.727 -2.097
U S Cs Mn
1 6 2 1
direct
0.500 0.500 0.500
0.756 0.756 0.244
0.756 0.244 0.756
0.244 0.756 0.756
0.244 0.244 0.756
0.244 0.756 0.244
0.756 0.244 0.244
0.750 0.750 0.750
0.250 0.250 0.250
0.000 0.000 0.000
```



RbNbCd | PBE | optimized geometry

Calculated values
The distance to the lowest polymorph of the same formula is 105 meV/atom. The value obtained for the formation energy is 0.4113 eV/atom.

Cell and atoms, written as POSCAR:
```
RbNbCd
1.0
13.036 0.049 0.005
0.325 3.442 0.001
-0.027 0.001 4.868
Nb Rb Cd
2 2 2
direct
0.402 0.697 0.106
0.551 0.142 0.108
0.142 0.304 0.102
0.810 0.049 0.600
0.562 0.638 0.609
0.367 0.209 0.606
```



Summary of ρ in g/cm³
5.0 4.4
(order as listed above)
Summary of energy in eV/atom
-5.599 -3.573
(order as listed above)